A geometry-optimized RbCoAs2O8 structure. Source: Alexandria via LeMat-Bulk, functional PBE with a Hubbard U.

## Properties
Total DFT energy (no corrections) ... -5.4962 eV/atom

Cell: 4.9217 4.9217 28.1228 Å, 90.00 90.00 120.00°
Space group R32 (No. 155, hexagonal axes)
Asymmetric unit:
Rb  0.0000  0.0000  0.0000 [3 per cell]
Co  0.0000  0.0000  0.5000 [3 per cell]
As  0.0000  0.0000  0.2320 [6 per cell]
O  0.0000  0.0000  0.2918 [6 per cell]
O  0.0164  0.3671  0.1219 [18 per cell]